The following is a PBE-GGA calculation of a geometry-optimized PmNd2SmTh structure, from Alexandria.

Unit cell a=8.502 b=6.427 c=6.685 alpha=75.91 beta=90.00 gamma=90.00
Element x y z (fractional)
1 Pm 0.661 0.000 0.250
2 Pm 0.339 0.000 0.750
3 Nd 0.673 0.714 0.844
4 Nd 0.673 0.286 0.656
5 Nd 0.327 0.714 0.344
6 Nd 0.327 0.286 0.156
7 Sm 0.085 0.500 0.750
8 Sm 0.915 0.500 0.250
9 Th 0.000 0.000 0.000
10 Th 0.000 0.000 0.500

Properties
E_tot   -5.043 eV per atom
Fermi-level density of states   9.115 states/eV/f.u.

=====

The following is a PBE-GGA calculation of a geometry-optimized K2NaZnHg6 structure, from Alexandria.

Unit cell a=7.962 b=7.962 c=7.962 alpha=60.00 beta=60.00 gamma=90.00
Element x y z (fractional)
1 K 0.250 0.750 0.500
2 K 0.750 0.250 0.500
3 Na 0.000 0.000 0.000
4 Zn 0.500 0.500 0.000
5 Hg 0.258 0.742 0.000
6 Hg 0.742 0.742 0.000
7 Hg 0.258 0.258 0.484
8 Hg 0.742 0.258 0.000
9 Hg 0.258 0.258 0.000
10 Hg 0.742 0.742 0.516

Properties
E_tot   -0.744 eV per atom
Fermi-level density of states   5.811 states/eV/f.u.

=====

The following is a PBE-GGA calculation of a geometry-optimized TaAgPb2 structure, from Alexandria.

Unit cell a=5.069 b=5.069 c=5.069 alpha=60.00 beta=60.00 gamma=60.00
Element x y z (fractional)
1 Pb 0.250 0.250 0.250
2 Pb 0.750 0.750 0.750
3 Ag 0.000 0.000 0.000
4 Ta 0.500 0.500 0.500

Properties
Energy above the lowest structure with this stoichiometry   390.9 meV per atom
Fermi-level density of states   4.046 states/eV/f.u.